Record 1
Computed, not measured: a relaxed structure of Li2CdPb at the PBE level of DFT.

Space group: P6_3/mmc (194)
Excess energy over the best structure of this formula in the dataset: 7.7 kJ/mol of atoms

Lattice parameters (Å, degrees): 4.9257 4.9257 8.7095 90.00 90.00 120.00
With the nearest neighbours (Å) after each atom.
Sites, in units of the cell vectors:
Li: 0.3333 0.6667 0.0808  4 Pb 2.88-3.20, 4 Li 2.95-3.17, 3 Cd 3.20
Li: 0.3333 0.6667 0.4192  4 Pb 2.88-3.20, 4 Li 2.95-3.17, 3 Cd 3.20
Li: 0.6667 0.3333 0.5808  4 Pb 2.88-3.20, 4 Li 2.95-3.17, 3 Cd 3.20
Li: 0.6667 0.3333 0.9192  4 Pb 2.88-3.20, 4 Li 2.95-3.17, 3 Cd 3.20
Cd: 0.0000 0.0000 0.2500  3 Pb 2.84
Cd: 0.0000 0.0000 0.7500  3 Pb 2.84
Pb: 0.3333 0.6667 0.7500  3 Cd 2.84, 2 Li 2.88
Pb: 0.6667 0.3333 0.2500  3 Cd 2.84, 2 Li 2.88



Record 2
Computed, not measured: a relaxed structure of ZnGe at the PBE level of DFT.

Space group: Pm (6)

Lattice parameters (Å, degrees): 4.5077 4.9274 8.2048 90.00 105.88 90.00
With the nearest neighbours (Å) after each atom.
Sites, in units of the cell vectors:
Zn: 0.0000 0.0000 0.0000  6 Ge 2.71-3.01, 5 Zn 2.79-3.03
Zn: 0.1065 0.5000 0.6306  5 Zn 2.64-2.82, 2 Ge 2.69-2.75
Zn: 0.2856 0.5000 0.9885  5 Zn 2.64-2.82, 2 Ge 2.69-2.75
Zn: 0.7018 0.5000 0.8093  4 Zn 2.64-2.68, 4 Ge 2.80-2.94
Zn: 0.8100 0.0000 0.6191  6 Ge 2.71-3.01, 5 Zn 2.79-3.03
Ge: 0.2128 0.0000 0.4245  2 Zn 2.73, 5 Ge 2.77-3.04
Ge: 0.4057 0.0000 0.8100  10 Zn 2.71-2.99
Ge: 0.5015 0.5000 0.4377  3 Zn 2.69-2.93, 2 Ge 2.77
Ge: 0.5966 0.0000 0.1942  2 Zn 2.73, 5 Ge 2.78-3.03
Ge: 0.8733 0.5000 0.1815  3 Zn 2.69-2.94, 2 Ge 2.78



Here are the calculated DFT total energy numbers, same order: -0.0845; -0.1007 (Ha/atom).